Entry 1:
Compound: Eu2PPd
Source: Alexandria
Functional: PBE-GGA
Structure: optimized geometry

## Properties
The calculation puts the formation energy at -827 meV/atom. The value obtained for the total energy is -8.61 eV/atom. The distance to the lowest polymorph of the same formula comes out at 0.000 eV/atom.

```
data_Eu2PPd
_chemical_formula_sum 'Eu8 P4 Pd4'
_symmetry_space_group_name_H-M 'F m -3 m'
_symmetry_Int_Tables_number 225
_symmetry_space_group_name_Hall '-F 4 2 3'
_cell_length_a 7.1998
_cell_length_b 7.1998
_cell_length_c 7.1998
_cell_angle_alpha 90.00
_cell_angle_beta 90.00
_cell_angle_gamma 90.00
loop_
_atom_site_label
_atom_site_type_symbol
_atom_site_fract_x
_atom_site_fract_y
_atom_site_fract_z
Eu1 Eu 0.2500 0.2500 0.2500
P1 P 0.0000 0.0000 0.0000
Pd1 Pd 0.0000 0.0000 0.5000
```

---

Entry 2:
Compound: BaTcPb2O6
Source: Alexandria
Functional: PBE-GGA
Structure: optimized geometry

## Properties
The uncorrected formation energy comes out at -1540 meV/atom. The value obtained for the total energy is -6.49 eV/atom.

```
data_BaTcPb2O6
_chemical_formula_sum 'Ba2 Tc2 Pb4 O12'
_symmetry_space_group_name_H-M 'P 1 21/c 1'
_symmetry_Int_Tables_number 14
_cell_length_a 5.7120
_cell_length_b 6.7248
_cell_length_c 10.3251
_cell_angle_alpha 90.00
_cell_angle_beta 122.31
_cell_angle_gamma 90.00
loop_
_symmetry_equiv_pos_as_xyz
'x,y,z'
'-x,-y,-z'
'-x,y+1/2,-z+1/2'
'x,-y+1/2,z+1/2'
loop_
_atom_site_label
_atom_site_type_symbol
_atom_site_fract_x
_atom_site_fract_y
_atom_site_fract_z
Ba1 Ba 0.0000 0.0000 0.0000
Tc1 Tc 0.5000 0.0000 0.5000
Pb1 Pb 0.2167 0.0424 0.7142
O1 O 0.1774 0.1461 0.4833
O2 O 0.2669 0.7226 0.9146
O3 O 0.4010 0.0891 0.2926
```

---

Entry 3:
Compound: Pr2Ga3CoPt4
Source: Alexandria
Functional: PBE-GGA
Structure: optimized geometry

## Properties
The calculation puts the formation energy at -824 meV/atom. The value obtained for the total energy is -5.82 eV/atom.

```
data_Pr2Ga3CoPt4
_chemical_formula_sum 'Pr2 Ga3 Co1 Pt4'
_symmetry_space_group_name_H-M 'P -4 m 2'
_symmetry_Int_Tables_number 115
_cell_length_a 4.1883
_cell_length_b 4.1883
_cell_length_c 10.8362
_cell_angle_alpha 90.00
_cell_angle_beta 90.00
_cell_angle_gamma 90.00
loop_
_symmetry_equiv_pos_as_xyz
'x,y,z'
'y,-x,-z'
'-x,-y,z'
'-y,x,-z'
'-x,y,z'
'-y,-x,-z'
'x,-y,z'
'y,x,-z'
loop_
_atom_site_label
_atom_site_type_symbol
_atom_site_fract_x
_atom_site_fract_y
_atom_site_fract_z
Pr1 Pr 0.0000 0.5000 0.2432
Ga1 Ga 0.0000 0.0000 0.0000
Ga2 Ga 0.0000 0.5000 0.6349
Co1 Co 0.5000 0.5000 0.0000
Pt1 Pt 0.0000 0.0000 0.5000
Pt2 Pt 0.0000 0.5000 0.8664
Pt3 Pt 0.5000 0.5000 0.5000
```

---

Entry 4:
Compound: CaPm3Co
Source: Alexandria
Functional: PBE-GGA
Structure: optimized geometry

## Properties
The calculation puts the formation energy at -13 meV/atom. The value obtained for the total energy is -4.68 eV/atom. The distance to the lowest polymorph of the same formula comes out at 0.000 eV/atom.

```
data_CaPm3Co
_chemical_formula_sum 'Ca4 Pm12 Co4'
_symmetry_space_group_name_H-M 'C 1 2/m 1'
_symmetry_Int_Tables_number 12
_cell_length_a 14.4572
_cell_length_b 3.7589
_cell_length_c 11.3747
_cell_angle_alpha 90.00
_cell_angle_beta 92.97
_cell_angle_gamma 90.00
loop_
_symmetry_equiv_pos_as_xyz
'x,y,z'
'-x,-y,-z'
'-x,y,-z'
'x,-y,z'
'x+1/2,y+1/2,z'
'-x+1/2,-y+1/2,-z'
'-x+1/2,y+1/2,-z'
'x+1/2,-y+1/2,z'
loop_
_atom_site_label
_atom_site_type_symbol
_atom_site_fract_x
_atom_site_fract_y
_atom_site_fract_z
Ca1 Ca 0.1649 0.0000 0.0926
Pm1 Pm 0.0617 0.5000 0.8302
Pm2 Pm 0.0673 0.0000 0.3835
Pm3 Pm 0.2114 0.0000 0.6435
Co1 Co 0.0791 0.5000 0.5804
```